# 1
ThReHg: optimized geometry, PBE.

The space group is C2/m (No. 12) and the conventional cell measures 7.9875, 4.6421 and 8.6746 Å, with angles of 90.00, 107.81 and 90.00 degrees. The distinct sites, in fractional coordinates, are Th at (0.2236, 0.0000, 0.1627), Re at (0.1624, 0.5000, 0.4891) and Hg at (0.0576, 0.0000, 0.6758).

The value obtained for the energy above the most stable polymorph in this dataset is 44.5 kJ per mole of atoms. As for the crystal system: monoclinic.

=====

# 2
Th6Re2Hg: optimized geometry, PBE.

The space group is Immm (No. 71) and the conventional cell measures 9.4863, 9.5376 and 11.1851 Å, with angles of 90.00, 90.00 and 90.00 degrees. The distinct sites, in fractional coordinates, are Th at (0.0000, 0.2027, 0.2400), Th at (0.1928, 0.5000, 0.1643), Th at (0.2034, 0.3164, 0.5000), Re at (0.0000, 0.3291, 0.0000), Re at (0.0000, 0.5000, 0.3644), Hg at (0.0000, 0.0000, 0.0000) and Hg at (0.0000, 0.0000, 0.5000).

The total energy is -7.80 eV/atom. As for the crystal system: orthorhombic.

=====

# 3
ThReHg: optimized geometry, PBE.

The space group is Cmcm (No. 63) and the conventional cell measures 4.1649, 17.3002 and 4.1728 Å, with angles of 90.00, 90.00 and 90.00 degrees. The distinct sites, in fractional coordinates, are Th at (0.0000, 0.0996, 0.2500), Re at (0.0000, 0.4629, 0.2500) and Hg at (0.0000, 0.2943, 0.2500).

The value obtained for the energy above the most stable polymorph in this dataset is 0.0 kJ per mole of atoms. As for the crystal system: orthorhombic.

=====

# 4
TiReHg3: optimized geometry, PBE.

The space group is Pm-3m (No. 221) and the conventional cell measures 5.1818, 5.1818 and 5.1818 Å, with angles of 90.00, 90.00 and 90.00 degrees. The distinct sites, in fractional coordinates, are Ti at (0.0000, 0.0000, 0.0000), Re at (0.5000, 0.5000, 0.5000) and Hg at (0.0000, 0.5000, 0.5000).

The value obtained for the energy above the most stable polymorph in this dataset is 0.0 kJ per mole of atoms. As for the crystal system: cubic.

=====

Number 1: D(E_F) 1.6 states/eV/f.u.. Number 2: D(E_F) 10.7 states/eV/f.u.. Number 3: D(E_F) 2.2 states/eV/f.u.. Number 4: D(E_F) 8.0 states/eV/f.u..